No. 1
# Ca2ScAg

An optimized crystal structure of Ca2ScAg (PBE, Alexandria).

Computed properties:
E above lowest polymorph = 136.1 meV per atom
DFT total energy = -0.119 Ha/atom
Total moment = 0.00 μB/f.u.

Unit cell a=5.2965 b=5.2965 c=4.0125 alpha=90.00 beta=90.00 gamma=90.00
Atoms (fractional coordinates):
Ca 0.0000 0.5000 0.0000
Ca 0.5000 0.0000 0.0000
Sc 0.0000 0.0000 0.5000
Ag 0.5000 0.5000 0.5000

---

No. 2
# Ca3ScAg4

An optimized crystal structure of Ca3ScAg4 (PBE, Alexandria).

Computed properties:
DFT total energy = -0.120 Ha/atom
Total moment = 0.00 μB/f.u.

Unit cell a=3.6190 b=3.6190 c=14.7117 alpha=90.00 beta=90.00 gamma=90.00
Atoms (fractional coordinates):
Ca 0.0000 0.0000 0.0000
Ca 0.0000 0.0000 0.2593
Ca 0.0000 0.0000 0.7407
Sc 0.0000 0.0000 0.5000
Ag 0.5000 0.5000 0.1285
Ag 0.5000 0.5000 0.3963
Ag 0.5000 0.5000 0.6037
Ag 0.5000 0.5000 0.8715

---

No. 3
# CaSc2Ag3

An optimized crystal structure of CaSc2Ag3 (PBE, Alexandria).

Computed properties:
DFT total energy = -0.152 Ha/atom
Total moment = 0.00 μB/f.u.

Unit cell a=3.4956 b=3.4956 c=10.7151 alpha=90.00 beta=90.00 gamma=90.00
Atoms (fractional coordinates):
Ca 0.0000 0.0000 0.0000
Sc 0.0000 0.0000 0.3402
Sc 0.0000 0.0000 0.6598
Ag 0.5000 0.5000 0.1948
Ag 0.5000 0.5000 0.5000
Ag 0.5000 0.5000 0.8052

---

No. 4
# CaSc2Ag2

An optimized crystal structure of CaSc2Ag2 (PBE, Alexandria).

Computed properties:
E above lowest polymorph = 269.3 meV per atom
DFT total energy = -0.145 Ha/atom
Total moment = 0.00 μB/f.u.

Unit cell a=7.2882 b=7.2882 c=7.2882 alpha=144.44 beta=144.44 gamma=51.16
Atoms (fractional coordinates):
Ca 0.0000 0.0000 0.0000
Sc 0.3795 0.3795 0.0000
Sc 0.6205 0.6205 0.0000
Ag 0.2500 0.7500 0.5000
Ag 0.7500 0.2500 0.5000

---

Number 1: E_form 64 meV per atom. Number 2: E_form -294 meV per atom. Number 3: E_form -277 meV per atom. Number 4: E_form 124 meV per atom.